Here is crystalline KSnAu at its relaxed geometry from Alexandria via LeMat-Bulk. Energies are from PBE.

Cell lengths 5.646, 6.669, 12.634 Å; angles 90.00, 90.00, 90.00 degrees
Atoms (fractional coordinates):
K (0.000, 0.133, 0.000)
K (0.000, 0.867, 0.500)
K (0.500, 0.320, 0.309)
K (0.500, 0.680, 0.809)
Sn (0.250, 0.372, 0.584)
Sn (0.250, 0.628, 0.084)
Sn (0.750, 0.372, 0.584)
Sn (0.750, 0.628, 0.084)
Au (0.000, 0.145, 0.739)
Au (0.000, 0.855, 0.239)
Au (0.500, 0.159, 0.744)
Au (0.500, 0.841, 0.244)

Symmetry = Pmc2_1, No. 26
Formation energy from the elements = -8 kJ per mole of atoms
Crystal system = orthorhombic
V = 39.65 Å³/atom